1.
PBE-GGA La2SmBr8, optimized geometry; raw formation energy = -1.725 eV/atom; VASP energy = -4.267 eV per atom
1.0
4.4346 -6.6805 0.0000
4.4346 6.6805 0.0000
-1.8019 0.0000 5.9661
La Sm Br
2 1 8
Direct
0.1906 0.8094 0.0000
0.8094 0.1906 0.0000
0.5000 0.5000 0.5000
0.1452 0.1452 0.3126
0.1639 0.4228 0.8897
0.2825 0.7175 0.5000
0.4228 0.1639 0.8897
0.5772 0.8361 0.1103
0.7175 0.2825 0.5000
0.8361 0.5772 0.1103
0.8548 0.8548 0.6874



2.
PBE-GGA LaSm2Br6, optimized geometry; raw formation energy = -1.528 eV/atom; VASP energy = -4.239 eV per atom
1.0
3.9955 2.3068 5.4086
-3.9955 2.3068 5.4086
0.0000 -4.6136 5.4086
La Sm Br
1 2 6
Direct
0.0000 0.0000 0.0000
0.5292 0.5292 0.5292
0.7872 0.7872 0.7872
0.1158 0.6929 0.4045
0.2031 0.5678 0.9167
0.4045 0.1158 0.6929
0.5678 0.9167 0.2031
0.6929 0.4045 0.1158
0.9167 0.2031 0.5678



3.
PBE-GGA LaSnBr2, optimized geometry; excess energy over the best structure of this formula in the dataset = 544 meV per atom; raw formation energy = -0.489 eV/atom; VASP energy = -3.558 eV per atom
1.0
-3.5884 3.5884 7.0801
3.5884 -3.5884 7.0801
3.5884 3.5884 -7.0801
La Sn Br
2 2 4
Direct
0.0000 0.0000 0.0000
0.7500 0.2500 0.5000
0.2500 0.7500 0.5000
0.5000 0.5000 0.0000
0.0673 0.6250 0.9423
0.3750 0.3173 0.4423
0.6827 0.1250 0.0577
0.8750 0.9327 0.5577



4.
PBE-GGA LaSn3Br, optimized geometry; excess energy over the best structure of this formula in the dataset = 428 meV per atom; raw formation energy = 0.572 eV/atom; VASP energy = -3.150 eV per atom
1.0
6.1348 0.0000 0.0000
0.0000 6.1348 0.0000
0.0000 0.0000 6.1348
La Sn Br
1 3 1
Direct
0.0000 0.0000 0.0000
0.0000 0.0000 0.5000
0.0000 0.5000 0.0000
0.5000 0.0000 0.0000
0.5000 0.5000 0.5000



5.
PBE-GGA La3SnBr, optimized geometry; excess energy over the best structure of this formula in the dataset = 92 meV per atom; raw formation energy = -0.502 eV/atom; VASP energy = -4.593 eV per atom
1.0
5.6014 0.0000 0.0000
0.0000 5.6014 0.0000
0.0000 0.0000 5.6014
La Sn Br
3 1 1
Direct
0.0000 0.0000 0.5000
0.0000 0.5000 0.0000
0.5000 0.0000 0.0000
0.5000 0.5000 0.5000
0.0000 0.0000 0.0000



6.
PBE-GGA La6SnBr8, optimized geometry; raw formation energy = -1.554 eV/atom; VASP energy = -4.684 eV per atom
1.0
3.7287 2.1528 11.0426
-3.7287 2.1528 11.0426
0.0000 -4.3055 11.0426
La Sn Br
6 1 8
Direct
0.1016 0.4457 0.7894
0.2106 0.8984 0.5543
0.4457 0.7894 0.1016
0.5543 0.2106 0.8984
0.7894 0.1016 0.4457
0.8984 0.5543 0.2106
0.5000 0.5000 0.5000
0.0674 0.7123 0.3896
0.1666 0.1666 0.1666
0.2877 0.6104 0.9326
0.3896 0.0674 0.7123
0.6104 0.9326 0.2877
0.7123 0.3896 0.0674
0.8334 0.8334 0.8334
0.9326 0.2877 0.6104



7.
PBE-GGA LaSnBr2, optimized geometry; excess energy over the best structure of this formula in the dataset = 245 meV per atom; raw formation energy = -0.788 eV/atom; VASP energy = -3.857 eV per atom
1.0
0.0000 3.8355 3.8355
3.8355 0.0000 3.8355
3.8355 3.8355 0.0000
La Sn Br
1 1 2
Direct
0.0000 0.0000 0.0000
0.5000 0.5000 0.5000
0.2500 0.2500 0.2500
0.7500 0.7500 0.7500



8.
PBE-GGA LaSnBr2, optimized geometry; excess energy over the best structure of this formula in the dataset = 0 meV per atom; raw formation energy = -1.033 eV/atom; VASP energy = -4.102 eV per atom
1.0
1.8745 1.0823 10.5356
-1.8745 1.0823 10.5356
0.0000 -2.1645 10.5356
La Sn Br
1 1 2
Direct
0.0000 0.0000 0.0000
0.5000 0.5000 0.5000
0.4018 0.4018 0.4018
0.5982 0.5982 0.5982



9.
PBE-GGA LaSnBr, optimized geometry; raw formation energy = -1.109 eV/atom; VASP energy = -4.644 eV per atom
1.0
4.0720 -2.3864 0.0000
4.0720 2.3864 0.0000
-2.7176 0.0000 10.8723
La Sn Br
2 2 2
Direct
0.0000 0.0000 0.0000
0.1374 0.1374 0.4013
0.3941 0.3941 0.1793
0.7447 0.7447 0.2226
0.6158 0.6158 0.8516
0.8567 0.8567 0.5640



10.
PBE-GGA LaSnBr5, optimized geometry; raw formation energy = -1.434 eV/atom; VASP energy = -3.905 eV per atom
1.0
8.3580 0.0000 0.0000
0.0000 4.4565 0.0000
-0.8320 0.0000 14.1312
La Sn Br
2 2 10
Direct
0.0897 0.2500 0.1497
0.9103 0.7500 0.8503
0.4051 0.7500 0.3691
0.5949 0.2500 0.6309
0.1118 0.2500 0.7894
0.1521 0.2500 0.3681
0.1845 0.7500 0.0142
0.3583 0.7500 0.5680
0.4323 0.2500 0.1853
0.5677 0.7500 0.8147
0.6417 0.2500 0.4320
0.8155 0.2500 0.9858
0.8479 0.7500 0.6319
0.8882 0.7500 0.2106



11.
PBE-GGA LaSn3Br, optimized geometry; excess energy over the best structure of this formula in the dataset = 0 meV per atom; raw formation energy = 0.144 eV/atom; VASP energy = -3.578 eV per atom
1.0
5.5230 0.0000 0.0000
0.0000 5.5230 0.0000
0.0000 0.0000 5.5230
La Sn Br
1 3 1
Direct
0.0000 0.0000 0.0000
0.0000 0.5000 0.5000
0.5000 0.0000 0.5000
0.5000 0.5000 0.0000
0.5000 0.5000 0.5000



12.
PBE-GGA La2SnBr8, optimized geometry; raw formation energy = -1.650 eV/atom; VASP energy = -4.126 eV per atom
1.0
11.4715 -2.1425 0.0000
11.4715 2.1425 0.0000
-1.1263 0.0000 8.4111
La Sn Br
2 1 8
Direct
0.1587 0.1587 0.3356
0.8413 0.8413 0.6644
0.5000 0.5000 0.0000
0.0193 0.0193 0.2477
0.2428 0.2428 0.6702
0.3674 0.3674 0.9364
0.3855 0.3855 0.4725
0.6145 0.6145 0.5275
0.6326 0.6326 0.0636
0.7572 0.7572 0.3298
0.9807 0.9807 0.7523